[1]
# YLu2Cu | OQMD via LeMat-Bulk | GGA-PBE | relaxed
data_YLu2Cu
_space_group_name_H-M_alt 'P 1'
_space_group_IT_number 1
_cell_length_a 5.182
_cell_length_b 5.182
_cell_length_c 5.182
_cell_angle_alpha 60.00
_cell_angle_beta 60.00
_cell_angle_gamma 60.00
loop_
_space_group_symop_operation_xyz
'x,y,z'
loop_
_atom_site_label
_atom_site_fract_x
_atom_site_fract_y
_atom_site_fract_z
Cu1 0.500 0.500 0.500
Lu1 0.000 0.000 0.000
Lu2 0.750 0.750 0.750
Y1 0.250 0.250 0.250
# - V: 24.597 Å³ per atom
# - E_form: 0.16 eV/atom

=====

[2]
# SrMgNiGe | OQMD via LeMat-Bulk | GGA-PBE | relaxed
data_SrMgNiGe
_space_group_name_H-M_alt 'P 1'
_space_group_IT_number 1
_cell_length_a 4.842
_cell_length_b 4.842
_cell_length_c 4.842
_cell_angle_alpha 60.00
_cell_angle_beta 60.00
_cell_angle_gamma 60.00
loop_
_space_group_symop_operation_xyz
'x,y,z'
loop_
_atom_site_label
_atom_site_fract_x
_atom_site_fract_y
_atom_site_fract_z
Ge1 0.250 0.250 0.250
Mg1 0.750 0.750 0.750
Ni1 0.500 0.500 0.500
Sr1 0.000 0.000 0.000
# - V: 20.069 Å³ per atom
# - Energy above the most stable polymorph in this dataset: 41 meV per atom

=====

Question: Which value of V does entry 1 give?
Answer: 24.597 Å³ per atom